Entry from Alexandria via LeMat-Bulk: an optimized crystal structure of AcPaCd2O8 (GGA-PBE).

Summary:
- electronic total energy (eV/atom) = -6.356
- size of the total moment (μB per cell) = 0.00
- SG = I-4m2
- energy relative to the elements, uncorrected (meV/atom) = -1763.8

a = 6.3276 Å, b = 6.3276 Å, c = 6.3276 Å
α = 114.59°, β = 114.59°, γ = 99.66°
Fractional coordinates of all 12 atoms:
Ac: 0.0000 0.0000 0.0000
Pa: 0.2500 0.7500 0.5000
Cd: 0.5000 0.5000 0.0000
Cd: 0.7500 0.2500 0.5000
O: 0.2842 0.0906 0.8065
O: 0.2842 0.4777 0.1935
O: 0.3658 0.0179 0.3479
O: 0.5223 0.7158 0.8065
O: 0.6700 0.0179 0.6521
O: 0.9094 0.7158 0.1935
O: 0.9821 0.3300 0.3479
O: 0.9821 0.6342 0.6521